# 1
Dy3Tm5Tl2 | PBE | optimized geometry

Calculated values
E	-3.951	eV per atom

Lattice parameters (Å, degrees): 6.3505 10.4534 10.4534 94.51 72.32 72.32
Last column: nearest neighbours and their distance in Å.
Sites, in units of the cell vectors:
1 Dy 0.2500 0.0000 0.0000  2 Dy 3.18, 2 Tm 3.20, 4 Tl 3.23
2 Dy 0.7500 0.0000 0.0000  2 Dy 3.18, 2 Tm 3.20, 4 Tl 3.23
3 Dy 0.3801 0.3454 0.8944  4 Tl 3.41-3.70, 4 Tm 3.41-3.60
4 Dy 0.6199 0.6546 0.1056  4 Tl 3.41-3.70, 4 Tm 3.41-3.60
5 Dy 0.8801 0.8944 0.3454  4 Tl 3.41-3.70, 4 Tm 3.41-3.60
6 Dy 0.1199 0.1056 0.6546  4 Tl 3.41-3.70, 4 Tm 3.41-3.60
7 Tm 0.2500 0.5000 0.5000  8 Tm 3.14-3.32
8 Tm 0.7500 0.5000 0.5000  8 Tm 3.14-3.32
9 Tm 0.5023 0.7477 0.7477  2 Tl 3.13, 5 Tm 3.14-3.43, 1 Dy 3.20
10 Tm 0.9977 0.2523 0.2523  2 Tl 3.13, 5 Tm 3.14-3.43, 1 Dy 3.20
11 Tm 0.4977 0.2523 0.2523  2 Tl 3.13, 5 Tm 3.14-3.43, 1 Dy 3.20
12 Tm 0.0023 0.7477 0.7477  2 Tl 3.13, 5 Tm 3.14-3.43, 1 Dy 3.20
13 Tm 0.1141 0.5506 0.2212  1 Tl 2.92
14 Tm 0.8859 0.4494 0.7788  1 Tl 2.92
15 Tm 0.6141 0.2212 0.5506  1 Tl 2.92
16 Tm 0.3859 0.7788 0.4494  1 Tl 2.92
17 Tl 0.1338 0.7204 0.0121  3 Tm 2.92-3.13, 2 Dy 3.23
18 Tl 0.8662 0.2796 0.9879  3 Tm 2.92-3.13, 2 Dy 3.23
19 Tl 0.6338 0.0121 0.7204  3 Tm 2.92-3.13, 2 Dy 3.23
20 Tl 0.3662 0.9879 0.2796  3 Tm 2.92-3.13, 2 Dy 3.23



# 2
Dy7Tm2Tl2 | PBE | optimized geometry

Calculated values
E	-3.986	eV per atom

Lattice parameters (Å, degrees): 6.7068 9.1211 6.7068 90.01 119.73 89.99
Last column: nearest neighbours and their distance in Å.
Sites, in units of the cell vectors:
1 Dy 0.0000 0.2998 0.4999  2 Tl 3.22, 4 Dy 3.37-3.51, 2 Tm 3.43
2 Dy 0.4999 0.7002 0.0000  2 Tl 3.22, 4 Dy 3.37-3.51, 2 Tm 3.43
3 Dy 0.0000 0.7002 0.5001  2 Tl 3.22, 4 Dy 3.37-3.51, 2 Tm 3.43
4 Dy 0.5001 0.2998 0.0000  2 Tl 3.22, 4 Dy 3.37-3.51, 2 Tm 3.43
5 Dy 0.0000 0.0000 0.0000  2 Tl 3.14
6 Dy 0.5000 0.8132 0.5000  2 Tl 3.16, 2 Tm 3.34, 5 Dy 3.41-3.51
7 Dy 0.5000 0.1868 0.5000  2 Tl 3.16, 2 Tm 3.34, 5 Dy 3.41-3.51
8 Tm 0.7573 0.5000 0.7573  2 Tm 3.27-3.47, 6 Dy 3.34-3.43
9 Tm 0.2427 0.5000 0.2427  2 Tm 3.27-3.47, 6 Dy 3.34-3.43
10 Tl 0.7294 0.0000 0.2706  7 Dy 3.14-3.22, 2 Tl 3.40
11 Tl 0.2706 0.0000 0.7294  7 Dy 3.14-3.22, 2 Tl 3.40



# 3
Dy5Tm4Tl2 | PBE | optimized geometry

Calculated values
E	-4.068	eV per atom

Lattice parameters (Å, degrees): 3.5370 9.1495 12.3888 118.00 98.21 90.00
Last column: nearest neighbours and their distance in Å.
Sites, in units of the cell vectors:
1 Dy 0.1745 0.9675 0.3489  1 Tl 3.11
2 Dy 0.8255 0.0325 0.6511  1 Tl 3.11
3 Dy 0.1281 0.3028 0.2563  3 Tl 3.18-3.51, 3 Tm 3.46, 4 Dy 3.52-3.54
4 Dy 0.5000 0.0000 0.0000  4 Tm 3.37, 6 Dy 3.52-3.54
5 Dy 0.8719 0.6972 0.7437  3 Tl 3.18-3.51, 3 Tm 3.46, 4 Dy 3.52-3.54
6 Tm 0.6022 0.5885 0.2044  1 Tl 3.03, 4 Tm 3.33-3.36
7 Tm 0.0148 0.7073 0.0296  7 Tm 3.33-3.54, 4 Dy 3.37-3.49
8 Tm 0.3978 0.4115 0.7956  1 Tl 3.03, 4 Tm 3.33-3.36
9 Tm 0.9852 0.2927 0.9704  7 Tm 3.33-3.54, 4 Dy 3.37-3.49
10 Tl 0.7353 0.6529 0.4705  1 Tm 3.03, 2 Dy 3.11-3.18
11 Tl 0.2647 0.3471 0.5295  1 Tm 3.03, 2 Dy 3.11-3.18



# 4
Dy2TmTl | PBE | optimized geometry

Calculated values
polymorph energy (0 for the lowest one)	61	meV/atom

Lattice parameters (Å, degrees): 3.5810 3.5810 11.0471 80.67 80.67 59.98
Last column: nearest neighbours and their distance in Å.
Sites, in units of the cell vectors:
1 Dy 0.0803 0.0803 0.7590  3 Tl 3.34, 3 Tm 3.49, 6 Dy 3.58
2 Dy 0.2533 0.2533 0.2406  3 Tl 3.33, 3 Tm 3.49, 6 Dy 3.58
3 Tm 0.4999 0.4999 0.5001  6 Dy 3.49, 6 Tm 3.58
4 Tl 0.6665 0.6665 0.0003  6 Dy 3.33-3.34, 6 Tl 3.58



# 5
Dy6Tm8Tl | PBE | optimized geometry

Calculated values
E	-4.169	eV per atom

Lattice parameters (Å, degrees): 6.6527 9.1277 9.1277 120.00 90.00 90.00
Last column: nearest neighbours and their distance in Å.
Sites, in units of the cell vectors:
1 Dy 0.5990 0.6839 0.0822  4 Tm 3.16-3.53, 1 Dy 3.20, 1 Tl 3.39
2 Dy 0.5990 0.9178 0.6017  4 Tm 3.16-3.53, 1 Dy 3.20, 1 Tl 3.39
3 Dy 0.5990 0.3983 0.3161  4 Tm 3.16-3.53, 1 Dy 3.20, 1 Tl 3.39
4 Dy 0.4010 0.3161 0.9178  4 Tm 3.16-3.53, 1 Dy 3.20, 1 Tl 3.39
5 Dy 0.4010 0.0822 0.3983  4 Tm 3.16-3.53, 1 Dy 3.20, 1 Tl 3.39
6 Dy 0.4010 0.6017 0.6839  4 Tm 3.16-3.53, 1 Dy 3.20, 1 Tl 3.39
7 Tm 0.8961 0.9793 0.3168  4 Dy 3.16-3.53, 5 Tm 3.26-3.52
8 Tm 0.8961 0.6832 0.6626  4 Dy 3.16-3.53, 5 Tm 3.26-3.52
9 Tm 0.8961 0.3375 0.0207  4 Dy 3.16-3.53, 5 Tm 3.26-3.52
10 Tm 0.1039 0.0207 0.6832  4 Dy 3.16-3.53, 5 Tm 3.26-3.52
11 Tm 0.1039 0.3168 0.3375  4 Dy 3.16-3.53, 5 Tm 3.26-3.52
12 Tm 0.1039 0.6626 0.9793  4 Dy 3.16-3.53, 5 Tm 3.26-3.52
13 Tm 0.8122 0.3333 0.6667  6 Tm 3.26-3.52, 3 Dy 3.62
14 Tm 0.1878 0.6667 0.3333  6 Tm 3.26-3.52, 3 Dy 3.62
15 Tl 0.5000 0.0000 0.0000  6 Dy 3.39



# 6
Dy4TmTl4 | PBE | optimized geometry

Calculated values
E	-3.753	eV per atom

Lattice parameters (Å, degrees): 5.9229 9.3577 9.3577 90.00 90.00 90.00
Last column: nearest neighbours and their distance in Å.
Sites, in units of the cell vectors:
1 Dy 0.3785 0.4238 0.8385  5 Tl 3.18-3.49, 1 Tm 3.33, 1 Dy 3.34
2 Dy 0.8785 0.6615 0.9238  5 Tl 3.18-3.49, 1 Tm 3.33, 1 Dy 3.34
3 Dy 0.3785 0.5762 0.1615  5 Tl 3.18-3.49, 1 Tm 3.33, 1 Dy 3.34
4 Dy 0.1215 0.0762 0.6615  5 Tl 3.18-3.49, 1 Tm 3.33, 1 Dy 3.34
5 Dy 0.6215 0.8385 0.5762  5 Tl 3.18-3.49, 1 Tm 3.33, 1 Dy 3.34
6 Dy 0.1215 0.9238 0.3385  5 Tl 3.18-3.49, 1 Tm 3.33, 1 Dy 3.34
7 Dy 0.8785 0.3385 0.0762  5 Tl 3.18-3.49, 1 Tm 3.33, 1 Dy 3.34
8 Dy 0.6215 0.1615 0.4238  5 Tl 3.18-3.49, 1 Tm 3.33, 1 Dy 3.34
9 Tm 0.0000 0.0000 0.0000  4 Tl 3.14, 4 Dy 3.33
10 Tm 0.5000 0.5000 0.5000  4 Tl 3.14, 4 Dy 3.33
11 Tl 0.6148 0.8986 0.2076  1 Tm 3.14, 5 Dy 3.18-3.49, 3 Tl 3.31-3.35
12 Tl 0.6148 0.1014 0.7924  1 Tm 3.14, 5 Dy 3.18-3.49, 3 Tl 3.31-3.35
13 Tl 0.1148 0.7076 0.6014  1 Tm 3.14, 5 Dy 3.18-3.49, 3 Tl 3.31-3.35
14 Tl 0.8852 0.3986 0.7076  1 Tm 3.14, 5 Dy 3.18-3.49, 3 Tl 3.31-3.35
15 Tl 0.8852 0.6014 0.2924  1 Tm 3.14, 5 Dy 3.18-3.49, 3 Tl 3.31-3.35
16 Tl 0.3852 0.2076 0.1014  1 Tm 3.14, 5 Dy 3.18-3.49, 3 Tl 3.31-3.35
17 Tl 0.3852 0.7924 0.8986  1 Tm 3.14, 5 Dy 3.18-3.49, 3 Tl 3.31-3.35
18 Tl 0.1148 0.2924 0.3986  1 Tm 3.14, 5 Dy 3.18-3.49, 3 Tl 3.31-3.35



# 7
Dy3Tm4Tl4 | PBE | optimized geometry

Calculated values
E	-3.950	eV per atom

Lattice parameters (Å, degrees): 3.7003 9.5529 10.4164 117.29 100.23 90.00
Last column: nearest neighbours and their distance in Å.
Sites, in units of the cell vectors:
1 Dy 0.0995 0.0995 0.1989  6 Tl 3.15-3.34
2 Dy 0.9005 0.9005 0.8011  6 Tl 3.15-3.34
3 Dy 0.0000 0.5000 0.0000  4 Tl 3.24
4 Tm 0.3344 0.1374 0.6687  4 Tl 3.10-3.19
5 Tm 0.6656 0.4686 0.3313  4 Tl 3.10-3.19
6 Tm 0.6656 0.8626 0.3313  4 Tl 3.10-3.19
7 Tm 0.3344 0.5314 0.6687  4 Tl 3.10-3.19
8 Tl 0.2603 0.7603 0.5206  2 Dy 3.15, 6 Tm 3.15-3.19
9 Tl 0.7397 0.2397 0.4794  2 Dy 3.15, 6 Tm 3.15-3.19
10 Tl 0.5000 0.7787 0.0000  2 Tm 3.10, 6 Dy 3.24-3.34
11 Tl 0.5000 0.2213 0.0000  2 Tm 3.10, 6 Dy 3.24-3.34



# 8
Dy2Tm2Tl | PBE | optimized geometry

Calculated values
E	-4.022	eV per atom

Lattice parameters (Å, degrees): 4.6419 8.1391 8.1390 90.00 90.00 90.00
Last column: nearest neighbours and their distance in Å.
Sites, in units of the cell vectors:
1 Dy 0.0000 0.3513 0.8513  2 Tl 3.10, 6 Tm 3.28-3.36, 1 Dy 3.42
2 Dy 0.0000 0.8513 0.6487  2 Tl 3.10, 6 Tm 3.28-3.36, 1 Dy 3.42
3 Dy 0.0000 0.6487 0.1487  2 Tl 3.10, 6 Tm 3.28-3.36, 1 Dy 3.42
4 Dy 0.0000 0.1487 0.3513  2 Tl 3.10, 6 Tm 3.28-3.36, 1 Dy 3.42
5 Tm 0.5000 0.1498 0.6498  6 Dy 3.28-3.36, 1 Tm 3.45
6 Tm 0.5000 0.6498 0.8502  6 Dy 3.28-3.36, 1 Tm 3.45
7 Tm 0.5000 0.8502 0.3502  6 Dy 3.28-3.36, 1 Tm 3.45
8 Tm 0.5000 0.3502 0.1498  6 Dy 3.28-3.36, 1 Tm 3.45
9 Tl 0.0000 0.0000 0.0000  4 Dy 3.10
10 Tl 0.0000 0.5000 0.5000  4 Dy 3.10



# 9
DyTm5Tl | PBE | optimized geometry

Calculated values
E	-3.441	eV per atom

Lattice parameters (Å, degrees): 6.1298 7.9189 7.5812 121.48 113.85 90.00
Last column: nearest neighbours and their distance in Å.
Sites, in units of the cell vectors:
1 Dy 0.8338 0.0000 0.0000  6 Tm 3.38-3.71
2 Tm 0.4694 0.2517 0.5034  1 Tl 2.98, 2 Tm 3.29
3 Tm 0.0365 0.5000 0.0000  2 Tl 2.90-3.23, 2 Tm 3.08
4 Tm 0.9660 0.7483 0.4966  1 Tl 2.98, 2 Tm 3.29
5 Tm 0.3312 0.8148 0.0000  1 Tl 2.87, 2 Tm 2.93-3.08
6 Tm 0.3312 0.1852 0.0000  1 Tl 2.87, 2 Tm 2.93-3.08
7 Tl 0.5627 0.5000 0.0000  5 Tm 2.87-2.98



# 10
Dy12TmTl3 | PBE | optimized geometry

Calculated values
E	-4.302	eV per atom

Lattice parameters (Å, degrees): 4.8573 4.8573 19.7959 90.00 90.00 90.00
Last column: nearest neighbours and their distance in Å.
Sites, in units of the cell vectors:
1 Dy 0.5000 0.5000 0.0000  4 Tm 3.43, 8 Dy 3.52
2 Dy 0.5000 0.5000 0.2538  4 Tl 3.43, 8 Dy 3.44-3.47
3 Dy 0.5000 0.5000 0.5000  4 Tl 3.43, 8 Dy 3.44
4 Dy 0.5000 0.5000 0.7462  4 Tl 3.43, 8 Dy 3.44-3.47
5 Dy 0.5000 0.0000 0.1289  8 Dy 3.43-3.52, 2 Tl 3.50, 2 Tm 3.52
6 Dy 0.5000 0.0000 0.3767  4 Tl 3.40-3.44, 8 Dy 3.43-3.44
7 Dy 0.5000 0.0000 0.6233  4 Tl 3.40-3.44, 8 Dy 3.43-3.44
8 Dy 0.5000 0.0000 0.8711  8 Dy 3.43-3.52, 2 Tl 3.50, 2 Tm 3.52
9 Dy 0.0000 0.5000 0.1289  8 Dy 3.43-3.52, 2 Tl 3.50, 2 Tm 3.52
10 Dy 0.0000 0.5000 0.3767  4 Tl 3.40-3.44, 8 Dy 3.43-3.44
11 Dy 0.0000 0.5000 0.6233  4 Tl 3.40-3.44, 8 Dy 3.43-3.44
12 Dy 0.0000 0.5000 0.8711  8 Dy 3.43-3.52, 2 Tl 3.50, 2 Tm 3.52
13 Tm 0.0000 0.0000 0.0000  12 Dy 3.43-3.52
14 Tl 0.0000 0.0000 0.2562  12 Dy 3.40-3.50
15 Tl 0.0000 0.0000 0.5000  12 Dy 3.43-3.44
16 Tl 0.0000 0.0000 0.7438  12 Dy 3.40-3.50



# 11
Dy3Tm2Tl2 | PBE | optimized geometry

Calculated values
polymorph energy (0 for the lowest one)	0	meV/atom

Lattice parameters (Å, degrees): 5.3771 5.3755 8.5595 108.33 90.00 120.01
Last column: nearest neighbours and their distance in Å.
Sites, in units of the cell vectors:
1 Dy 0.5000 0.0000 0.0000  6 Tl 3.32, 2 Dy 3.70
2 Dy 0.6546 0.3093 0.4641  1 Tl 3.10, 3 Dy 3.15-3.16, 3 Tm 3.44
3 Dy 0.3454 0.6907 0.5359  1 Tl 3.10, 3 Dy 3.15-3.16, 3 Tm 3.44
4 Tm 0.9263 0.8526 0.2793  4 Tl 3.28-3.40, 3 Dy 3.44, 1 Tm 3.52
5 Tm 0.0737 0.1474 0.7207  4 Tl 3.28-3.40, 3 Dy 3.44, 1 Tm 3.52
6 Tl 0.7845 0.5690 0.8528  4 Dy 3.10-3.32, 4 Tm 3.28-3.40
7 Tl 0.2155 0.4310 0.1472  4 Dy 3.10-3.32, 4 Tm 3.28-3.40